1.
DFT (GGA-PBE) results for LaPuAg2 after structural relaxation.

Structure (POSCAR):
```
LaPuAg2
1.0
3.437 0.000 0.000
0.000 5.525 0.000
0.000 0.000 5.525
Ag La Pu
2 1 1
Cartesian
0.000 0.000 2.762 Ag
0.000 2.762 0.000 Ag
1.718 0.000 0.000 La
1.718 2.762 2.762 Pu
```

SG: P4/mmm (123)
Theoretical density: 9.48 Mg/m³
ΔE_f: -0.057 eV per atom

2.
DFT (GGA-PBE) results for LaPuAg after structural relaxation.

Structure (POSCAR):
```
LaPuAg
1.0
-3.416 1.411 -0.175
-1.202 -3.107 -1.610
1.030 -1.555 6.485
La Ag Pu
1 1 1
Cartesian
-0.818 -1.537 3.576 La
-2.726 -1.632 0.932 Ag
-0.044 -0.082 0.192 Pu
```

SG: I4mm (107)
Theoretical density: 9.57 Mg/m³
ΔE_f: 0.057 eV per atom

3.
DFT (GGA-PBE) results for LaPuAg4 after structural relaxation.

Structure (POSCAR):
```
LaPuAg4
1.0
5.788 0.000 0.000
2.894 5.013 0.000
2.894 1.671 4.726
La Pu Ag
1 1 4
Cartesian
0.000 0.000 0.000 La
2.894 1.671 1.181 Pu
7.231 4.175 2.952 Ag
4.345 4.175 2.952 Ag
5.788 1.675 2.952 Ag
5.788 3.342 0.595 Ag
```

SG: F-43m (216)
Theoretical density: 9.86 Mg/m³
ΔE_f: -0.057 eV per atom

4.
DFT (GGA-PBE) results for LaPuAg after structural relaxation.

Structure (POSCAR):
```
LaPuAg
1.0
-3.139 0.332 1.050
0.936 -0.937 3.096
3.888 12.173 2.509
Ag La Pu
2 2 2
Cartesian
-0.664 0.543 3.112 Ag
2.350 11.024 3.543 Ag
0.839 2.985 1.566 La
0.847 8.582 5.089 La
-0.241 5.755 2.731 Pu
1.927 5.813 3.924 Pu
```

SG: Cmcm (63)
Theoretical density: 11.27 Mg/m³
ΔE_f: 0.205 eV per atom

5.
DFT (GGA-PBE) results for LaPuAg2 after structural relaxation.

Structure (POSCAR):
```
LaPuAg2
1.0
-4.228 3.143 -0.700
-2.875 -0.367 -4.455
-4.897 -2.059 0.160
Ag La Pu
2 1 1
Cartesian
-3.000 0.179 -1.249 Ag
-9.001 0.537 -3.746 Ag
0.000 0.000 0.000 La
-6.000 0.358 -2.497 Pu
```

SG: Fm-3m (225)
Theoretical density: 9.36 Mg/m³
ΔE_f: -0.048 eV per atom

6.
DFT (GGA-PBE) results for LaPuAgRh after structural relaxation.

Structure (POSCAR):
```
LaPuAgRh
1.0
5.123 0.000 0.000
2.562 4.437 0.000
2.562 1.479 4.183
Pu La Ag Rh
1 1 1 1
Cartesian
7.685 4.437 3.137 Pu
2.562 1.479 1.046 La
0.000 0.000 0.000 Ag
5.123 2.958 2.092 Rh
```

SG: F-43m (216)
Theoretical density: 10.37 Mg/m³
ΔE_f: -0.267 eV per atom